First-principles (PBE) data for an optimized crystal structure of PdO8, as listed in the Alexandria database.

Results
**Total DFT energy (no corrections)**: -4.118 eV per atom
**Crystal system**: tetragonal
**SG**: I4/mmm (139)

Unit cell a=6.2527 b=6.2527 c=6.2527 alpha=98.83 beta=98.83 gamma=133.86
With the nearest neighbours (Å) after each atom.
Fractional positions:
Pd: 0.0000 0.0000 0.0000  8 O 2.71
O: 0.0000 0.4243 0.4243  1 O 1.23
O: 0.0000 0.5757 0.5757  1 O 1.23
O: 0.3986 0.3986 0.7972  2 O 1.65
O: 0.3986 0.6014 0.0000  2 O 1.65
O: 0.4243 0.0000 0.4243  1 O 1.23
O: 0.5757 0.0000 0.5757  1 O 1.23
O: 0.6014 0.3986 0.0000  2 O 1.65
O: 0.6014 0.6014 0.2028  2 O 1.65